[1]
First-principles (PBE) data for a relaxed Ac2BeNi12B3 crystal, as listed in Alexandria via LeMat-Bulk.

As for the energy: -0.21081 Ha/atom.

The space group is R-3m (No. 166, hexagonal axes) and the conventional cell measures 7.2594, 7.2594 and 16.6079 Å, with angles of 90.00, 90.00 and 120.00 degrees. Symmetry generates all atoms from Ac at (0.0000, 0.0000, 0.1200), Be at (0.0000, 0.0000, 0.5000), Ni at (0.0412, 0.5206, 0.1132), Ni at (0.0711, 0.5355, 0.3508) and B at (0.0000, 0.5000, 0.0000).

[2]
First-principles (PBE) data for a relaxed AcBeBPd6 crystal, as listed in Alexandria via LeMat-Bulk.

As for the energy: -0.20143 Ha/atom.

The space group is Imma (No. 74) and the conventional cell measures 7.437, 7.964 and 10.909 Å, with angles of 90.00, 90.00 and 90.00 degrees. Symmetry generates all atoms from Ac at (0.000, 0.250, 0.137), Be at (0.250, 0.250, 0.750), B at (0.000, 0.000, 0.500), Pd at (0.000, 0.250, 0.436), Pd at (0.000, 0.250, 0.856) and Pd at (0.208, 0.032, 0.626).

[3]
First-principles (PBE) data for a relaxed AcBeBPt3 crystal, as listed in Alexandria via LeMat-Bulk.

As for the energy: -0.22622 Ha/atom.

The space group is Cmcm (No. 63) and the conventional cell measures 6.101, 12.116 and 5.727 Å, with angles of 90.00, 90.00 and 90.00 degrees. Symmetry generates all atoms from Ac at (0.000, 0.237, 0.250), Be at (0.000, 0.097, 0.750), B at (0.000, 0.466, 0.750), Pt at (0.000, 0.291, 0.750) and Pt at (0.245, 0.000, 0.000).

[4]
First-principles (PBE) data for a relaxed AcBe2BRu2 crystal, as listed in Alexandria via LeMat-Bulk.

As for the energy: -0.23760 Ha/atom.

The space group is P4/mmm (No. 123) and the conventional cell measures 4.154, 4.154 and 5.644 Å, with angles of 90.00, 90.00 and 90.00 degrees. Symmetry generates all atoms from Ac at (0.000, 0.000, 0.000), Be at (0.500, 0.500, 0.303), B at (0.000, 0.000, 0.500) and Ru at (0.000, 0.500, 0.500).

[5]
First-principles (PBE) data for a relaxed Ac3BiB crystal, as listed in Alexandria via LeMat-Bulk.

As for the energy: -0.17590 Ha/atom.

The space group is Pm-3m (No. 221) and the conventional cell measures 5.588, 5.588 and 5.588 Å, with angles of 90.00, 90.00 and 90.00 degrees. Symmetry generates all atoms from Ac at (0.000, 0.000, 0.500), Bi at (0.500, 0.500, 0.500) and B at (0.000, 0.000, 0.000).

[6]
First-principles (PBE) data for a relaxed Ac3BiB2N6 crystal, as listed in Alexandria via LeMat-Bulk.

As for the energy: -0.27021 Ha/atom. The value obtained for the raw formation energy is -0.73 eV/atom.

The space group is P-3m1 (No. 164) and the conventional cell measures 5.7582, 5.7582 and 6.8761 Å, with angles of 90.00, 90.00 and 120.00 degrees. Symmetry generates all atoms from Ac at (0.0000, 0.0000, 0.0000), Ac at (0.3333, 0.6667, 0.6795), Bi at (0.0000, 0.0000, 0.5000), B at (0.3333, 0.6667, 0.2601) and N at (0.1857, 0.3714, 0.2669).

[7]
First-principles (PBE) data for a relaxed AcBi3B4O12 crystal, as listed in Alexandria via LeMat-Bulk.

As for the energy: -0.26673 Ha/atom. The value obtained for the raw formation energy is -2.16 eV/atom.

The space group is R32 (No. 155, hexagonal axes) and the conventional cell measures 10.4724, 10.4724 and 8.9525 Å, with angles of 90.00, 90.00 and 120.00 degrees. Symmetry generates all atoms from Ac at (0.0000, 0.0000, 0.0000), Bi at (0.0000, 0.5292, 0.0000), B at (0.0000, 0.0000, 0.5000), B at (0.0000, 0.4694, 0.5000), O at (0.0000, 0.6031, 0.5000), O at (0.0000, 0.8675, 0.5000) and O at (0.0070, 0.1985, 0.8287).

[8]
First-principles (PBE) data for a relaxed AcBi2B2O7 crystal, as listed in Alexandria via LeMat-Bulk.

As for the energy: -0.25637 Ha/atom. The value obtained for the raw formation energy is -1.98 eV/atom.

The space group is R32 (No. 155, hexagonal axes) and the conventional cell measures 5.4300, 5.4300 and 26.5683 Å, with angles of 90.00, 90.00 and 120.00 degrees. Symmetry generates all atoms from Ac at (0.0000, 0.0000, 0.0000), Bi at (0.0000, 0.0000, 0.4203), B at (0.0000, 0.0000, 0.2671), O at (0.0000, 0.0000, 0.5000) and O at (0.0462, 0.4652, 0.3995).

[9]
First-principles (PBE) data for a relaxed Ac3BiB4O12 crystal, as listed in Alexandria via LeMat-Bulk.

As for the energy: -0.28804 Ha/atom. The value obtained for the raw formation energy is -2.72 eV/atom.

The space group is R32 (No. 155, hexagonal axes) and the conventional cell measures 10.5757, 10.5757 and 9.3801 Å, with angles of 90.00, 90.00 and 120.00 degrees. Symmetry generates all atoms from Ac at (0.0000, 0.5140, 0.0000), Bi at (0.0000, 0.0000, 0.0000), B at (0.0000, 0.0000, 0.5000), B at (0.0000, 0.4864, 0.5000), O at (0.0000, 0.6158, 0.5000), O at (0.0000, 0.8698, 0.5000) and O at (0.0208, 0.2011, 0.8442).

[10]
First-principles (PBE) data for a relaxed AcBiBPd6 crystal, as listed in Alexandria via LeMat-Bulk.

As for the energy: -0.19733 Ha/atom.

The space group is Imma (No. 74) and the conventional cell measures 6.845, 8.789 and 11.590 Å, with angles of 90.00, 90.00 and 90.00 degrees. Symmetry generates all atoms from Ac at (0.000, 0.250, 0.199), Bi at (0.250, 0.250, 0.750), B at (0.000, 0.000, 0.500), Pd at (0.000, 0.250, 0.476), Pd at (0.000, 0.250, 0.946) and Pd at (0.226, 0.003, 0.380).

[11]
First-principles (PBE) data for a relaxed Ac4BiB3Rh12 crystal, as listed in Alexandria via LeMat-Bulk.

As for the energy: -0.25399 Ha/atom.

The space group is Im-3m (No. 229) and the conventional cell measures 9.024, 9.024 and 9.024 Å, with angles of 90.00, 90.00 and 90.00 degrees. Symmetry generates all atoms from Ac at (0.250, 0.250, 0.250), Bi at (0.000, 0.000, 0.000), B at (0.000, 0.000, 0.500), Rh at (0.000, 0.000, 0.284) and Rh at (0.000, 0.250, 0.500).

[12]
First-principles (PBE) data for a relaxed AcBBr2 crystal, as listed in Alexandria via LeMat-Bulk.

As for the energy: -0.12559 Ha/atom. The value obtained for the raw formation energy is 0.12 eV/atom.

The space group is P1 (No. 1) and the conventional cell measures 3.967, 3.967 and 10.447 Å, with angles of 87.36, 84.17 and 60.03 degrees. Symmetry generates all atoms from Ac at (0.000, 0.000, 0.000), B at (0.787, 0.662, 0.558), Br at (0.275, 0.337, 0.209) and Br at (0.729, 0.663, 0.775).

[13]
First-principles (PBE) data for a relaxed AcBBr crystal, as listed in Alexandria via LeMat-Bulk.

As for the energy: -0.18439 Ha/atom. The value obtained for the raw formation energy is -0.86 eV/atom.

The space group is C2/m (No. 12) and the conventional cell measures 8.086, 3.459 and 12.149 Å, with angles of 90.00, 100.81 and 90.00 degrees. Symmetry generates all atoms from Ac at (0.052, 0.000, 0.161), B at (0.227, 0.500, 0.002) and Br at (0.198, 0.000, 0.666).

[14]
First-principles (PBE) data for a relaxed Ac4B2Br5 crystal, as listed in Alexandria via LeMat-Bulk.

As for the energy: -0.17420 Ha/atom. The value obtained for the raw formation energy is -1.27 eV/atom.

The space group is Immm (No. 71) and the conventional cell measures 4.306, 8.677 and 19.713 Å, with angles of 90.00, 90.00 and 90.00 degrees. Symmetry generates all atoms from Ac at (0.000, 0.000, 0.171), Ac at (0.000, 0.292, 0.500), B at (0.000, 0.000, 0.041), Br at (0.000, 0.234, 0.331) and Br at (0.000, 0.500, 0.000).

[15]
First-principles (PBE) data for a relaxed Ac4BSBr2 crystal, as listed in Alexandria via LeMat-Bulk.

As for the energy: -0.18306 Ha/atom. The value obtained for the raw formation energy is -1.16 eV/atom.

The space group is P2/m (No. 10) and the conventional cell measures 7.470, 4.296 and 8.186 Å, with angles of 90.00, 107.72 and 90.00 degrees. Symmetry generates all atoms from Ac at (0.218, 0.000, 0.197), Ac at (0.249, 0.500, 0.797), B at (0.000, 0.500, 0.000), S at (0.500, 0.000, 0.000), Br at (0.000, 0.000, 0.500) and Br at (0.500, 0.500, 0.500).

[16]
First-principles (PBE) data for a relaxed AcB2C crystal, as listed in Alexandria via LeMat-Bulk.

As for the energy: -0.25575 Ha/atom. The energy above the lowest structure with this stoichiometry is 0 meV per atom.

The space group is R-3m (No. 166, hexagonal axes) and the conventional cell measures 6.8102, 6.8102 and 12.5324 Å, with angles of 90.00, 90.00 and 120.00 degrees. Symmetry generates all atoms from Ac at (0.0000, 0.0000, 0.0000), Ac at (0.0000, 0.0000, 0.3130), B at (0.0000, 0.2795, 0.5000) and C at (0.0000, 0.5000, 0.5000).

[17]
First-principles (PBE) data for a relaxed AcB3C3 crystal, as listed in Alexandria via LeMat-Bulk.

As for the energy: -0.27040 Ha/atom. The energy above the lowest structure with this stoichiometry is 0 meV per atom.

The space group is P6_3/m (No. 176) and the conventional cell measures 7.8272, 7.8272 and 2.9097 Å, with angles of 90.00, 90.00 and 120.00 degrees. Symmetry generates all atoms from Ac at (0.3333, 0.6667, 0.2500), B at (0.0254, 0.2820, 0.7500) and C at (0.0833, 0.7536, 0.7500).

[18]
First-principles (PBE) data for a relaxed AcB3C2 crystal, as listed in Alexandria via LeMat-Bulk.

As for the energy: -0.25511 Ha/atom.

The space group is C2/m (No. 12) and the conventional cell measures 13.671, 2.958 and 7.174 Å, with angles of 90.00, 118.50 and 90.00 degrees. Symmetry generates all atoms from Ac at (0.147, 0.000, 0.088), B at (0.066, 0.000, 0.383), B at (0.105, 0.500, 0.692), B at (0.221, 0.000, 0.522), C at (0.006, 0.500, 0.286) and C at (0.151, 0.000, 0.654).

[19]
First-principles (PBE) data for a relaxed AcB3C3 crystal, as listed in Alexandria via LeMat-Bulk.

As for the energy: -0.23880 Ha/atom. The energy above the lowest structure with this stoichiometry is 860 meV per atom.

The space group is P6_3/mmc (No. 194) and the conventional cell measures 6.5219, 6.5219 and 5.5511 Å, with angles of 90.00, 90.00 and 120.00 degrees. Symmetry generates all atoms from Ac at (0.3333, 0.6667, 0.2500), B at (0.1851, 0.3702, 0.7500) and C at (0.1443, 0.5722, 0.7500).

[20]
First-principles (PBE) data for a relaxed Ac2BC2 crystal, as listed in Alexandria via LeMat-Bulk.

As for the energy: -0.24641 Ha/atom.

The space group is C2/m (No. 12) and the conventional cell measures 11.405, 5.717 and 6.882 Å, with angles of 90.00, 115.63 and 90.00 degrees. Symmetry generates all atoms from Ac at (0.095, 0.000, 0.329), Ac at (0.138, 0.500, 0.788), B at (0.213, 0.500, 0.267), C at (0.121, 0.500, 0.367) and C at (0.166, 0.000, 0.763).